This record from Alexandria describes crystalline CaMnAs2O6 at its relaxed geometry. The functional is PBE+U.

The space group is C2/c (No. 15) and the conventional cell measures 10.900, 8.367 and 7.051 Å, with angles of 90.00, 119.48 and 90.00 degrees. The asymmetric unit holds Ca at (0.000, 0.173, 0.250), Mn at (0.000, 0.238, 0.750), As at (0.201, 0.467, 0.189), O at (0.116, 0.286, 0.071), O at (0.117, 0.069, 0.686) and O at (0.166, 0.421, 0.447).

Its total DFT energy (no corrections) is -64.92 eV/f.u. Its total magnetization is 0.47 μB per atom.